[1]
## MnMo2Se (GGA-PBE)

Data for a relaxed MnMo2Se crystal.

abc: 3.253 3.253 5.920
angles: 90.00 90.00 90.00
Space group P4mm (No. 99)
Symmetry-distinct sites (fractional):
Mn 0.000 0.000 0.000 (multiplicity 1)
Mo 0.000 0.000 0.479 (multiplicity 1)
Mo 0.500 0.500 0.241 (multiplicity 1)
Se 0.500 0.500 0.775 (multiplicity 1)

## Properties
total DFT energy (no corrections)	-8.433	eV per atom
crystal system	tetragonal
density of states at the Fermi level	3.07	states/eV/cell
magnetic moment	3.3	μB/f.u.
calculated density	8.6	g/cm³
energy relative to the elements, uncorrected	56	kJ/mol of formula units

=====

[2]
## Mn2MoSe2 (GGA-PBE)

Data for a relaxed Mn2MoSe2 crystal.

abc: 3.447 3.447 13.507
angles: 90.00 90.00 90.00
Space group I4/mmm (No. 139)
Symmetry-distinct sites (fractional):
Mn 0.000 0.500 0.250 (multiplicity 4)
Mo 0.000 0.000 0.000 (multiplicity 2)
Se 0.000 0.000 0.387 (multiplicity 4)

## Properties
total DFT energy (no corrections)	-6.846	eV per atom
crystal system	tetragonal
density of states at the Fermi level	8.26	states/eV/cell
magnetic moment	7.0	μB/f.u.
calculated density	7.5	g/cm³
energy relative to the elements, uncorrected	184	kJ/mol of formula units